(1)
A geometry-optimized K2CaSiS4 structure, computed with PBE.

Cell lengths 8.107, 8.107, 8.107 Å; angles 123.13, 117.04, 89.94 degrees
Fractional positions:
K 0.000 0.000 0.000
K 0.500 0.000 0.000
K 0.500 0.000 0.500
K 0.500 0.500 0.500
Ca 0.000 0.500 0.500
Ca 0.500 0.500 0.000
Si 0.000 0.000 0.500
Si 0.000 0.500 0.000
S 0.189 0.745 0.444
S 0.199 0.255 0.944
S 0.200 0.213 0.512
S 0.200 0.688 0.988
S 0.800 0.312 0.012
S 0.800 0.787 0.488
S 0.801 0.745 0.056
S 0.811 0.255 0.556

Properties
- energy relative to the elements, uncorrected (eV per atom) = -1.028
- DOS(E_F) (states/eV/cell) = 0.23
- space-group type = Imma (74)

---

(2)
A geometry-optimized K2CaTaS4 structure, computed with PBE.

Cell lengths 6.888, 6.888, 6.888 Å; angles 115.32, 115.32, 98.32 degrees
Fractional positions:
K 0.000 0.000 0.000
K 0.750 0.250 0.500
Ca 0.500 0.500 0.000
Ta 0.250 0.750 0.500
S 0.184 0.638 0.096
S 0.362 0.458 0.546
S 0.542 0.088 0.904
S 0.912 0.816 0.454

Properties
- energy relative to the elements, uncorrected (eV per atom) = -1.230
- DOS(E_F) (states/eV/cell) = 1.83
- space-group type = I-4 (82)

---

(3)
A geometry-optimized K3CaTm2S6 structure, computed with PBE.

Cell lengths 6.999, 6.999, 7.735 Å; angles 98.68, 98.68, 120.00 degrees
Fractional positions:
K 0.000 0.000 0.000
K 0.336 0.664 0.000
K 0.664 0.336 0.000
Ca 0.500 0.500 0.500
Tm 0.167 0.833 0.500
Tm 0.833 0.167 0.500
S 0.086 0.433 0.298
S 0.220 0.220 0.701
S 0.433 0.086 0.298
S 0.567 0.914 0.702
S 0.780 0.780 0.299
S 0.914 0.567 0.702

Properties
- energy relative to the elements, uncorrected (eV per atom) = -1.696
- DOS(E_F) (states/eV/cell) = 10.03
- space-group type = C2/m (12)

---

(4)
A geometry-optimized K3Ca2US6 structure, computed with PBE.

Cell lengths 7.109, 7.109, 7.703 Å; angles 98.88, 98.88, 119.98 degrees
Fractional positions:
K 0.000 0.000 0.000
K 0.329 0.671 0.000
K 0.671 0.329 0.000
Ca 0.166 0.834 0.500
Ca 0.834 0.166 0.500
U 0.500 0.500 0.500
S 0.122 0.433 0.298
S 0.258 0.258 0.702
S 0.433 0.122 0.298
S 0.567 0.878 0.702
S 0.742 0.742 0.298
S 0.878 0.567 0.702

Properties
- energy relative to the elements, uncorrected (eV per atom) = -1.657
- DOS(E_F) (states/eV/cell) = 0.05
- space-group type = C2/m (12)

---

(5)
A geometry-optimized K4CaU3S12 structure, computed with PBE.

Cell lengths 9.016, 9.016, 9.016 Å; angles 109.47, 109.47, 109.47 degrees
Fractional positions:
K 0.000 0.000 0.500
K 0.000 0.500 0.000
K 0.500 0.000 0.000
K 0.500 0.500 0.500
Ca 0.000 0.000 0.000
U 0.000 0.500 0.500
U 0.500 0.000 0.500
U 0.500 0.500 0.000
S 0.000 0.265 0.265
S 0.000 0.735 0.735
S 0.250 0.500 0.750
S 0.250 0.750 0.500
S 0.265 0.000 0.265
S 0.265 0.265 0.000
S 0.500 0.250 0.750
S 0.500 0.750 0.250
S 0.735 0.000 0.735
S 0.735 0.735 0.000
S 0.750 0.250 0.500
S 0.750 0.500 0.250

Properties
- energy relative to the elements, uncorrected (eV per atom) = -1.318
- space-group type = Im-3m (229)

---

(6)
A geometry-optimized K3Ca3WS8 structure, computed with PBE.

Cell lengths 8.811, 8.811, 8.811 Å; angles 53.90, 53.90, 53.90 degrees
Fractional positions:
K 0.000 0.500 0.500
K 0.500 0.000 0.500
K 0.500 0.500 0.000
Ca 0.000 0.000 0.500
Ca 0.000 0.500 0.000
Ca 0.500 0.000 0.000
W 0.500 0.500 0.500
S 0.236 0.236 0.236
S 0.276 0.705 0.705
S 0.295 0.295 0.724
S 0.295 0.724 0.295
S 0.705 0.276 0.705
S 0.705 0.705 0.276
S 0.724 0.295 0.295
S 0.764 0.764 0.764

Properties
- energy relative to the elements, uncorrected (eV per atom) = -1.251
- DOS(E_F) (states/eV/cell) = 12.03
- space-group type = R-3m (166)

---

no.,volume (Å³/atom)
1,23.4
2,30.6
3,26.1
4,26.7
5,28.2
6,27.7